Entry 1:
## Ba2ThMnS6 (PBE-GGA)

Data for a relaxed Ba2ThMnS6 crystal.

Results
calculated density: 4.945 g/cm³

```
data_Ba2ThMnS6
_chemical_formula_sum 'Ba4 Th2 Mn2 S12'
_cell_length_a 7.1145
_cell_length_b 7.0950
_cell_length_c 12.2540
_cell_angle_alpha 90.00
_cell_angle_beta 125.05
_cell_angle_gamma 90.00
_space_group_name_H-M_alt 'P 1 21/c 1'
_space_group_IT_number 14
loop_
_space_group_symop_operation_xyz
'x,y,z'
'-x,-y,-z'
'-x,y+1/2,-z+1/2'
'x,-y+1/2,z+1/2'
loop_
_atom_site_label
_atom_site_fract_x
_atom_site_fract_y
_atom_site_fract_z
_atom_site_occupancy
Ba1 0.2397 0.0352 0.2478 1
Th1 0.5000 0.0000 0.0000 1
Mn1 0.0000 0.0000 0.5000 1
S1 0.1720 0.2369 0.9701 1
S2 0.2294 0.7036 0.9692 1
S3 0.2894 0.0025 0.7317 1
```


Entry 2:
## BaMnTl2S4 (PBE-GGA)

Data for a relaxed BaMnTl2S4 crystal.

Results
DOS at the Fermi energy: 1.299 states/eV/f.u.
calculated density: 5.755 g/cm³

```
data_BaMnTl2S4
_chemical_formula_sum 'Ba4 Mn4 Tl8 S16'
_cell_length_a 11.7638
_cell_length_b 11.4025
_cell_length_c 8.3523
_cell_angle_alpha 90.00
_cell_angle_beta 131.30
_cell_angle_gamma 90.00
_space_group_name_H-M_alt 'C 1 2/c 1'
_space_group_IT_number 15
loop_
_space_group_symop_operation_xyz
'x,y,z'
'-x,-y,-z'
'-x,y,-z+1/2'
'x,-y,z+1/2'
'x+1/2,y+1/2,z'
'-x+1/2,-y+1/2,-z'
'-x+1/2,y+1/2,-z+1/2'
'x+1/2,-y+1/2,z+1/2'
loop_
_atom_site_label
_atom_site_fract_x
_atom_site_fract_y
_atom_site_fract_z
_atom_site_occupancy
Ba1 0.2500 0.2500 0.0000 1
Mn1 0.0000 0.0000 0.0000 1
Tl1 0.0000 0.5000 0.0000 1
Tl2 0.2500 0.2500 0.5000 1
S1 0.0035 0.2099 0.4955 1
S2 0.2055 0.0098 0.5084 1
```


Entry 3:
## Ba3U2MnS9 (PBE-GGA)

Data for a relaxed Ba3U2MnS9 crystal.

Results
DOS at the Fermi energy: 7.137 states/eV/f.u.
calculated density: 5.160 g/cm³

```
data_Ba3U2MnS9
_chemical_formula_sum 'Ba3 U2 Mn1 S9'
_cell_length_a 7.1858
_cell_length_b 7.1858
_cell_length_c 8.8633
_cell_angle_alpha 90.00
_cell_angle_beta 90.00
_cell_angle_gamma 120.00
_space_group_name_H-M_alt 'P -3 m 1'
_space_group_IT_number 164
_space_group_name_Hall '-P 3 2"'
loop_
_atom_site_label
_atom_site_fract_x
_atom_site_fract_y
_atom_site_fract_z
_atom_site_occupancy
Ba1 0.0000 0.0000 0.0000 1
Ba2 0.3333 0.6667 0.6561 1
U1 0.3333 0.6667 0.1813 1
Mn1 0.0000 0.0000 0.5000 1
S1 0.0000 0.5000 0.0000 1
S2 0.1621 0.3243 0.3385 1
```


Entry 4:
## Ba4U3MnS12 (PBE-GGA)

Data for a relaxed Ba4U3MnS12 crystal.

Results
DOS at the Fermi energy: 11.990 states/eV/f.u.
calculated density: 5.169 g/cm³

```
data_Ba4U3MnS12
_chemical_formula_sum 'Ba8 U6 Mn2 S24'
_cell_length_a 10.3046
_cell_length_b 10.3046
_cell_length_c 10.3046
_cell_angle_alpha 90.00
_cell_angle_beta 90.00
_cell_angle_gamma 90.00
_space_group_name_H-M_alt 'I m -3 m'
_space_group_IT_number 229
_space_group_name_Hall '-I 4 2 3'
loop_
_atom_site_label
_atom_site_fract_x
_atom_site_fract_y
_atom_site_fract_z
_atom_site_occupancy
Ba1 0.2500 0.2500 0.2500 1
U1 0.0000 0.0000 0.5000 1
Mn1 0.0000 0.0000 0.0000 1
S1 0.0000 0.0000 0.2483 1
S2 0.0000 0.2500 0.5000 1
```


These records have uncorrected formation energy values of -1543 -694 -1565 -1574 meV per atom, in the order they appear.